The following is a DFT calculation (PBE-GGA) of a relaxed MnFe2Ni crystal.

Unit cell a=2.4918 b=3.6086 c=4.9857 alpha=90.00 beta=90.00 gamma=90.00
Fractional positions:
1 Ni 0.5000 0.5000 0.7500
2 Mn 0.5000 0.5000 0.2500
3 Fe 0.0000 0.0000 0.9977
4 Fe 0.0000 0.0000 0.5023

Output
* uncorrected energy: -7.959 eV per atom
* total moment: 2.32 Bohr magnetons per cell
* formation energy from the elements: 0.0101 eV per atom
* space group: Pmmm